Crystalline YSn2Pb at its relaxed geometry. Source: Alexandria, functional PBE-GGA.

a = 6.8876 Å, b = 6.8876 Å, c = 6.8876 Å
α = 102.27°, β = 102.27°, γ = 125.09°
Closest atoms and distances in Å follow each position.
Atoms (fractional coordinates):
Y 0.0000 0.0000 0.0000  2 Pb 3.18, 4 Sn 3.18
Y 0.7500 0.2500 0.5000  2 Pb 3.18, 4 Sn 3.18
Sn 0.1294 0.6250 0.0044  2 Pb 3.13, 2 Sn 3.18, 2 Y 3.18
Sn 0.3750 0.3794 0.5044  2 Pb 3.13, 2 Sn 3.18, 2 Y 3.18
Sn 0.6206 0.1250 0.9956  2 Pb 3.13, 2 Sn 3.18, 2 Y 3.18
Sn 0.8750 0.8706 0.4956  2 Pb 3.13, 2 Sn 3.18, 2 Y 3.18
Pb 0.2500 0.7500 0.5000  4 Sn 3.13, 2 Y 3.18
Pb 0.5000 0.5000 0.0000  4 Sn 3.13, 2 Y 3.18

Properties
VASP energy in eV per cell: -37.7
Symmetry: No. 122
Volume in Å³ per atom: 29.7
M_tot in μB/cell: 0.0


Crystalline BeAgMo2 at its relaxed geometry. Source: Alexandria, functional PBE-GGA.

a = 3.6646 Å, b = 3.6646 Å, c = 4.3794 Å
α = 90.00°, β = 90.00°, γ = 90.00°
Closest atoms and distances in Å follow each position.
Atoms (fractional coordinates):
Be 0.0000 0.0000 0.0000  4 Ag 2.59, 8 Mo 2.86
Ag 0.5000 0.5000 0.0000  4 Be 2.59, 8 Mo 2.86
Mo 0.0000 0.5000 0.5000  4 Mo 2.59, 4 Be 2.86, 4 Ag 2.86
Mo 0.5000 0.0000 0.5000  4 Mo 2.59, 4 Be 2.86, 4 Ag 2.86

Properties
VASP energy in eV per cell: -26.8
Symmetry: No. 123
Volume in Å³ per atom: 14.7
M_tot in μB/cell: 0.0


Crystalline SmHoEr2Tm2 at its relaxed geometry. Source: Alexandria, functional PBE-GGA.

a = 6.0221 Å, b = 17.9758 Å, c = 3.4887 Å
α = 90.00°, β = 90.00°, γ = 90.00°
Closest atoms and distances in Å follow each position.
Atoms (fractional coordinates):
Sm 0.0000 0.0000 0.0000  4 Tm 3.47, 2 Er 3.48, 4 Ho 3.48, 2 Sm 3.49
Sm 0.5000 0.5000 0.5000  4 Tm 3.47, 2 Er 3.48, 4 Ho 3.48, 2 Sm 3.49
Ho 0.0000 0.5000 0.0000  2 Tm 3.47, 4 Er 3.48, 4 Sm 3.48, 2 Ho 3.49
Ho 0.5000 0.0000 0.5000  2 Tm 3.47, 4 Er 3.48, 4 Sm 3.48, 2 Ho 3.49
Er 0.1655 0.3422 0.5000  5 Tm 3.32-3.48, 2 Ho 3.48, 1 Sm 3.48, 2 Er 3.49
Er 0.3345 0.8422 0.0000  5 Tm 3.32-3.48, 2 Ho 3.48, 1 Sm 3.48, 2 Er 3.49
Er 0.6655 0.1578 0.0000  5 Tm 3.32-3.48, 2 Ho 3.48, 1 Sm 3.48, 2 Er 3.49
Er 0.8345 0.6578 0.5000  5 Tm 3.32-3.48, 2 Ho 3.48, 1 Sm 3.48, 2 Er 3.49
Tm 0.1659 0.1575 0.5000  5 Er 3.32-3.48, 2 Sm 3.47, 1 Ho 3.47, 2 Tm 3.49
Tm 0.3341 0.6575 0.0000  5 Er 3.32-3.48, 2 Sm 3.47, 1 Ho 3.47, 2 Tm 3.49
Tm 0.6659 0.3425 0.0000  5 Er 3.32-3.48, 2 Sm 3.47, 1 Ho 3.47, 2 Tm 3.49
Tm 0.8341 0.8425 0.5000  5 Er 3.32-3.48, 2 Sm 3.47, 1 Ho 3.47, 2 Tm 3.49

Properties
VASP energy in eV per cell: -53.4
Symmetry: No. 58
Volume in Å³ per atom: 31.5
M_tot in μB/cell: 0.0


Crystalline NbReTe2As at its relaxed geometry. Source: Alexandria, functional PBE-GGA.

a = 5.3373 Å, b = 5.3373 Å, c = 4.5700 Å
α = 90.00°, β = 90.00°, γ = 90.00°
Closest atoms and distances in Å follow each position.
Atoms (fractional coordinates):
Nb 0.0000 0.0000 0.0000  8 Te 3.51, 4 Re 3.77
Re 0.5000 0.5000 0.0000  2 As 2.28
Te 0.0000 0.5000 0.5000  2 As 2.67
Te 0.5000 0.0000 0.5000  2 As 2.67
As 0.5000 0.5000 0.5000  2 Re 2.28

Properties
VASP energy in eV per cell: -26.0
Symmetry: No. 123
Volume in Å³ per atom: 26.0
ΔE_f (raw) in meV per atom: 1492.3
M_tot in μB/cell: 2.2


Crystalline Sr2ZrCu at its relaxed geometry. Source: Alexandria, functional PBE-GGA.

a = 10.6068 Å, b = 10.6068 Å, c = 10.6068 Å
α = 20.11°, β = 20.11°, γ = 20.11°
Closest atoms and distances in Å follow each position.
Atoms (fractional coordinates):
Sr 0.2400 0.2400 0.2400  3 Cu 3.13
Sr 0.7600 0.7600 0.7600  3 Cu 3.13
Zr 0.0000 0.0000 0.0000  6 Sr 3.61, 6 Zr 3.70
Cu 0.5000 0.5000 0.5000  6 Sr 3.13

Properties
VASP energy in eV per cell: -14.1
Symmetry: No. 166
Energy above the lowest structure with this stoichiometry in meV per atom: 289
Volume in Å³ per atom: 30.9
M_tot in μB/cell: 0.0


Crystalline Li2Y at its relaxed geometry. Source: Alexandria, functional PBE-GGA.

a = 3.2508 Å, b = 3.2600 Å, c = 7.9390 Å
α = 97.06°, β = 98.19°, γ = 110.43°
Closest atoms and distances in Å follow each position.
Atoms (fractional coordinates):
Li 0.0000 0.0000 0.0000  6 Li 3.00-3.26, 2 Y 3.26
Li 0.3540 0.3404 0.6942  6 Li 3.00-3.26, 2 Y 3.26
Y 0.6816 0.6655 0.3470  4 Y 3.25-3.26, 4 Li 3.26

Properties
VASP energy in eV per cell: -9.9
Symmetry: No. 1
Energy above the lowest structure with this stoichiometry in meV per atom: 32
Volume in Å³ per atom: 25.6
M_tot in μB/cell: 0.0


Crystalline Pa2TcGe3 at its relaxed geometry. Source: Alexandria, functional PBE-GGA.

a = 8.4739 Å, b = 8.2652 Å, c = 5.7991 Å
α = 71.68°, β = 67.81°, γ = 40.52°
Closest atoms and distances in Å follow each position.
Atoms (fractional coordinates):
Pa 0.2349 0.7651 0.7651  2 Tc 2.97, 10 Ge 3.11-3.22
Pa 0.2500 0.2500 0.2500  8 Ge 3.10-3.13, 4 Tc 3.18
Pa 0.7500 0.7500 0.7500  8 Ge 3.10-3.13, 4 Tc 3.18
Pa 0.7651 0.2349 0.2349  2 Tc 2.97, 10 Ge 3.11-3.22
Tc 0.1607 0.1607 0.8393  3 Ge 2.47
Tc 0.8393 0.8393 0.1607  3 Ge 2.47
Ge 0.1715 0.6601 0.3399  2 Ge 2.45-2.46, 1 Tc 2.47
Ge 0.3302 0.3302 0.6698  2 Ge 2.45, 1 Tc 2.47
Ge 0.3399 0.8285 0.1715  2 Ge 2.45-2.46, 1 Tc 2.47
Ge 0.6601 0.1715 0.8285  2 Ge 2.45-2.46, 1 Tc 2.47
Ge 0.6698 0.6698 0.3302  2 Ge 2.45, 1 Tc 2.47
Ge 0.8285 0.3399 0.6601  2 Ge 2.45-2.46, 1 Tc 2.47

Properties
VASP energy in eV per cell: -91.3
Symmetry: No. 69
Energy above the lowest structure with this stoichiometry in meV per atom: 0
Volume in Å³ per atom: 20.3
M_tot in μB/cell: 0.0


Crystalline CsRbSrBr4 at its relaxed geometry. Source: Alexandria, functional PBE-GGA.

a = 9.9455 Å, b = 9.9455 Å, c = 9.9455 Å
α = 145.06°, β = 145.06°, γ = 50.24°
Closest atoms and distances in Å follow each position.
Atoms (fractional coordinates):
Cs 0.0000 0.0000 0.0000  1 Br 3.48
Rb 0.7178 0.7178 0.0000  1 Br 3.41
Sr 0.3605 0.3605 0.0000  6 Br 2.99-3.02
Br 0.1933 0.1933 0.0000  1 Sr 3.01
Br 0.3554 0.8554 0.5000  2 Sr 2.99
Br 0.5284 0.5284 0.0000  1 Sr 3.02
Br 0.8554 0.3554 0.5000  2 Sr 2.99

Properties
VASP energy in eV per cell: -23.5
Symmetry: No. 107
Volume in Å³ per atom: 45.9
ΔE_f (raw) in meV per atom: -1904.6
M_tot in μB/cell: 0.0


Crystalline DyHo3Au3 at its relaxed geometry. Source: Alexandria, functional PBE-GGA.

a = 7.1704 Å, b = 7.1704 Å, c = 7.0695 Å
α = 95.69°, β = 95.69°, γ = 88.19°
Closest atoms and distances in Å follow each position.
Atoms (fractional coordinates):
Dy 0.2410 0.2410 0.4788  4 Au 2.80-3.08
Dy 0.7590 0.7590 0.5212  4 Au 2.80-3.08
Ho 0.1958 0.8042 0.0000  4 Au 2.89-2.97
Ho 0.2724 0.7276 0.5000  4 Au 2.94-3.11
Ho 0.3092 0.3092 0.0085  5 Au 3.01-3.21
Ho 0.6908 0.6908 0.9915  5 Au 3.01-3.21
Ho 0.7276 0.2724 0.5000  4 Au 2.94-3.11
Ho 0.8042 0.1958 0.0000  4 Au 2.89-2.97
Au 0.0002 0.4900 0.7639  5 Ho 2.94-3.25, 2 Dy 3.08-3.16, 1 Au 3.20
Au 0.9998 0.5100 0.2361  5 Ho 2.94-3.25, 2 Dy 3.08-3.16, 1 Au 3.20
Au 0.0424 0.0424 0.7132  2 Dy 2.80-3.04, 4 Ho 2.89-3.11, 1 Au 3.02
Au 0.4900 0.0002 0.7639  5 Ho 2.94-3.25, 2 Dy 3.08-3.16, 1 Au 3.20
Au 0.5100 0.9998 0.2361  5 Ho 2.94-3.25, 2 Dy 3.08-3.16, 1 Au 3.20
Au 0.9576 0.9576 0.2868  2 Dy 2.80-3.04, 4 Ho 2.89-3.11, 1 Au 3.02

Properties
VASP energy in eV per cell: -65.6
Symmetry: No. 12
Volume in Å³ per atom: 25.7
M_tot in μB/cell: 0.0


Crystalline CaMn2InIr at its relaxed geometry. Source: Alexandria, functional PBE-GGA.

a = 4.4158 Å, b = 4.4158 Å, c = 5.2714 Å
α = 90.00°, β = 90.00°, γ = 90.00°
Closest atoms and distances in Å follow each position.
Atoms (fractional coordinates):
Ca 0.0000 0.0000 0.0000  4 Mn 2.21
Mn 0.0000 0.5000 0.0000  2 Ca 2.21
Mn 0.5000 0.0000 0.0000  2 Ca 2.21
In 0.0000 0.0000 0.5000  2 Ca 2.64
Ir 0.5000 0.5000 0.5000  4 In 3.12, 8 Mn 3.44

Properties
VASP energy in eV per cell: -22.1
Symmetry: No. 123
Volume in Å³ per atom: 20.6
M_tot in μB/cell: 6.2


Crystalline BaIrS2Cl at its relaxed geometry. Source: Alexandria, functional PBE-GGA.

a = 6.1287 Å, b = 6.1287 Å, c = 5.8626 Å
α = 90.00°, β = 90.00°, γ = 90.00°
Closest atoms and distances in Å follow each position.
Atoms (fractional coordinates):
Ba 0.0000 0.0000 0.0000  2 Cl 2.93, 4 S 3.06
Ir 0.5000 0.5000 0.5000  8 S 4.24, 4 Cl 4.33
S 0.0000 0.5000 0.0000  2 Ba 3.06
S 0.5000 0.0000 0.0000  2 Ba 3.06
Cl 0.0000 0.0000 0.5000  2 Ba 2.93

Properties
VASP energy in eV per cell: -15.5
Symmetry: No. 123
Energy above the lowest structure with this stoichiometry in meV per atom: 1904
Volume in Å³ per atom: 44.0
ΔE_f (raw) in meV per atom: 1070.9
M_tot in μB/cell: 6.0


Crystalline LaCuN at its relaxed geometry. Source: Alexandria, functional PBE-GGA.

a = 3.7307 Å, b = 3.7871 Å, c = 7.6833 Å
α = 90.00°, β = 101.35°, γ = 90.00°
Closest atoms and distances in Å follow each position.
Atoms (fractional coordinates):
La 0.1715 0.2500 0.3264  3 N 2.38-2.61
La 0.8285 0.7500 0.6736  3 N 2.38-2.61
Cu 0.4233 0.2500 0.9010  1 N 1.95
Cu 0.5767 0.7500 0.0990  1 N 1.95
N 0.2922 0.2500 0.6419  1 Cu 1.95
N 0.7078 0.7500 0.3581  1 Cu 1.95

Properties
VASP energy in eV per cell: -39.1
Symmetry: No. 11
Volume in Å³ per atom: 17.7
ΔE_f (raw) in meV per atom: -741.8
M_tot in μB/cell: 0.0